The following is a DFT calculation (PBE) of a relaxed structure of PrZn2SiRh.

Calculated values
Calculated total energy   -4.5813 eV/atom
Formation energy without anion corrections   -0.56 eV per atom
D(E_F)   3.39 states/eV/f.u.
Space-group type   No. 44
Crystal system   orthorhombic

Unit cell a=3.9841 b=4.2285 c=6.1577 alpha=110.08 beta=108.88 gamma=90.00
Element x y z (fractional)
Pr: 0.4378 0.4378 0.8756
Zn: 0.6962 0.1962 0.3925
Zn: 0.0548 0.0548 0.1096
Si: 0.8228 0.8228 0.6456
Rh: 0.2005 0.7005 0.4010